Entry 1:
The following is a meta-GGA SCAN calculation of a crystal of BaGeH2Pb relaxed with PBEsol, from Alexandria.

Computed properties:
space group	P4/mmm (123)
ρ	5.24	g/cm3
raw total energy	-27.64	eV/atom

Geometry as CIF:
```
data_BaGeH2Pb
_chemical_formula_sum 'Ba1 Ge1 H2 Pb1'
_cell_length_a 4.351
_cell_length_b 4.351
_cell_length_c 7.013
_cell_angle_alpha 90.00
_cell_angle_beta 90.00
_cell_angle_gamma 90.00
_space_group_name_H-M_alt 'P 1'
_space_group_IT_number 1
_space_group_name_Hall 'P 1'
loop_
_atom_site_label
_atom_site_fract_x
_atom_site_fract_y
_atom_site_fract_z
_atom_site_occupancy
H1 0.500 0.000 0.000 1
H2 0.000 0.500 0.000 1
Ge1 0.500 0.500 0.500 1
Ba1 0.000 0.000 0.500 1
Pb1 0.000 0.000 0.000 1
```

Entry 2:
The following is a meta-GGA SCAN calculation of a crystal of TcIr3 relaxed with PBEsol, from Alexandria.

Computed properties:
calculated formation energy	-113	meV per atom
space group	R-3m (166)
ρ	20.00	g/cm3
raw total energy	-62.20	eV/atom

Geometry as CIF:
```
data_TcIr3
_chemical_formula_sum 'Tc1 Ir3'
_cell_length_a 2.701
_cell_length_b 2.701
_cell_length_c 9.003
_cell_angle_alpha 81.37
_cell_angle_beta 81.37
_cell_angle_gamma 60.00
_space_group_name_H-M_alt 'P 1'
_space_group_IT_number 1
_space_group_name_Hall 'P 1'
loop_
_atom_site_label
_atom_site_fract_x
_atom_site_fract_y
_atom_site_fract_z
_atom_site_occupancy
Ir1 0.000 0.000 0.000 1
Ir2 0.751 0.751 0.746 1
Ir3 0.249 0.249 0.254 1
Tc1 0.500 0.500 0.500 1
```

Entry 3:
The following is a meta-GGA SCAN calculation of a crystal of Ag12Au17 relaxed with PBEsol, from Alexandria.

Computed properties:
calculated formation energy	24	meV per atom
space group	I-43m (217)
ρ	15.61	g/cm3
raw total energy	-53.50	eV/atom

Geometry as CIF:
```
data_Ag12Au17
_chemical_formula_sum 'Ag12 Au17'
_cell_length_a 8.625
_cell_length_b 8.625
_cell_length_c 8.625
_cell_angle_alpha 109.47
_cell_angle_beta 109.47
_cell_angle_gamma 109.47
_space_group_name_H-M_alt 'P 1'
_space_group_IT_number 1
_space_group_name_Hall 'P 1'
loop_
_atom_site_label
_atom_site_fract_x
_atom_site_fract_y
_atom_site_fract_z
_atom_site_occupancy
Au1 0.275 0.691 0.691 1
Au2 0.668 0.668 0.668 1
Au3 0.417 0.725 0.417 1
Au4 0.725 0.417 0.417 1
Au5 0.691 0.691 0.275 1
Au6 0.417 0.417 0.725 1
Au7 0.000 0.309 0.583 1
Au8 0.583 0.309 0.000 1
Au9 0.000 0.583 0.309 1
Au10 0.691 0.275 0.691 1
Au11 0.332 0.000 0.000 1
Au12 0.309 0.000 0.583 1
Au13 0.000 0.000 0.000 1
Au14 0.309 0.583 0.000 1
Au15 0.000 0.332 0.000 1
Au16 0.000 0.000 0.332 1
Au17 0.583 0.000 0.309 1
Ag1 0.808 0.000 0.618 1
Ag2 0.000 0.618 0.808 1
Ag3 0.000 0.808 0.618 1
Ag4 0.808 0.618 0.000 1
Ag5 0.618 0.000 0.808 1
Ag6 0.192 0.810 0.192 1
Ag7 0.190 0.382 0.382 1
Ag8 0.382 0.190 0.382 1
Ag9 0.382 0.382 0.190 1
Ag10 0.810 0.192 0.192 1
Ag11 0.618 0.808 0.000 1
Ag12 0.192 0.192 0.810 1
```

Entry 4:
The following is a meta-GGA SCAN calculation of a crystal of InHg3 relaxed with PBEsol, from Alexandria.

Computed properties:
calculated formation energy	24	meV per atom
space group	R-3m (166)
ρ	12.45	g/cm3
raw total energy	-59.45	eV/atom

Geometry as CIF:
```
data_InHg3
_chemical_formula_sum 'In1 Hg3'
_cell_length_a 3.327
_cell_length_b 3.327
_cell_length_c 10.160
_cell_angle_alpha 80.58
_cell_angle_beta 80.58
_cell_angle_gamma 60.00
_space_group_name_H-M_alt 'P 1'
_space_group_IT_number 1
_space_group_name_Hall 'P 1'
loop_
_atom_site_label
_atom_site_fract_x
_atom_site_fract_y
_atom_site_fract_z
_atom_site_occupancy
Hg1 0.248 0.248 0.255 1
Hg2 0.500 0.500 0.500 1
Hg3 0.752 0.752 0.745 1
In1 0.000 0.000 0.000 1
```

Entry 5:
The following is a meta-GGA SCAN calculation of a crystal of LaCr3Ir relaxed with PBEsol, from Alexandria.

Computed properties:
calculated formation energy	2251	meV per atom
space group	Pm-3m (221)
ρ	10.05	g/cm3
raw total energy	-31.62	eV/atom

Geometry as CIF:
```
data_LaCr3Ir
_chemical_formula_sum 'La1 Cr3 Ir1'
_cell_length_a 4.317
_cell_length_b 4.317
_cell_length_c 4.317
_cell_angle_alpha 90.00
_cell_angle_beta 90.00
_cell_angle_gamma 90.00
_space_group_name_H-M_alt 'P 1'
_space_group_IT_number 1
_space_group_name_Hall 'P 1'
loop_
_atom_site_label
_atom_site_fract_x
_atom_site_fract_y
_atom_site_fract_z
_atom_site_occupancy
Cr1 0.000 0.500 0.000 1
Cr2 0.500 0.000 0.000 1
Cr3 0.000 0.000 0.500 1
La1 0.000 0.000 0.000 1
Ir1 0.500 0.500 0.500 1
```

Entry 6:
The following is a meta-GGA SCAN calculation of a crystal of Er4In5S13 relaxed with PBEsol, from Alexandria.

Computed properties:
space group	Pbam (55)
ρ	5.90	g/cm3
raw total energy	-23.80	eV/atom
raw formation energy	-1369	meV/atom

Geometry as CIF:
```
data_Er4In5S13
_chemical_formula_sum 'Er8 In10 S26'
_cell_length_a 3.775
_cell_length_b 11.742
_cell_length_c 21.086
_cell_angle_alpha 90.00
_cell_angle_beta 90.00
_cell_angle_gamma 90.00
_space_group_name_H-M_alt 'P 1'
_space_group_IT_number 1
_space_group_name_Hall 'P 1'
loop_
_atom_site_label
_atom_site_fract_x
_atom_site_fract_y
_atom_site_fract_z
_atom_site_occupancy
S1 0.500 0.493 0.594 1
S2 0.500 0.653 0.114 1
S3 0.500 0.087 0.239 1
S4 0.000 0.663 0.741 1
S5 0.000 0.295 0.529 1
S6 0.500 0.647 0.864 1
S7 0.000 0.705 0.471 1
S8 0.000 0.337 0.259 1
S9 0.000 0.795 0.971 1
S10 0.000 0.500 0.000 1
S11 0.500 0.007 0.094 1
S12 0.000 0.000 0.500 1
S13 0.500 0.587 0.261 1
S14 0.000 0.163 0.759 1
S15 0.500 0.993 0.906 1
S16 0.500 0.913 0.761 1
S17 0.500 0.507 0.406 1
S18 0.000 0.837 0.241 1
S19 0.500 0.353 0.136 1
S20 0.500 0.413 0.739 1
S21 0.500 0.853 0.364 1
S22 0.500 0.847 0.614 1
S23 0.500 0.147 0.636 1
S24 0.000 0.205 0.029 1
S25 0.500 0.153 0.386 1
S26 0.500 0.347 0.886 1
Er1 0.000 0.518 0.174 1
Er2 0.000 0.178 0.161 1
Er3 0.000 0.982 0.674 1
Er4 0.000 0.322 0.661 1
Er5 0.000 0.482 0.826 1
Er6 0.000 0.822 0.839 1
Er7 0.000 0.018 0.326 1
Er8 0.000 0.678 0.339 1
In1 0.500 0.842 0.167 1
In2 0.500 0.654 0.992 1
In3 0.500 0.346 0.008 1
In4 0.500 0.342 0.333 1
In5 0.500 0.658 0.667 1
In6 0.500 0.154 0.508 1
In7 0.000 0.500 0.500 1
In8 0.500 0.158 0.833 1
In9 0.500 0.846 0.492 1
In10 0.000 0.000 0.000 1
```